This record from the Alexandria database describes ThSF3 after structural relaxation. The functional is PBE.

Unit cell a=4.562 b=4.562 c=4.562 alpha=94.92 beta=94.92 gamma=94.92
Atoms (fractional coordinates):
Th 0.484 0.484 0.484
S 0.875 0.875 0.875
F 0.401 0.964 0.401
F 0.964 0.401 0.401
F 0.401 0.401 0.964

**Raw formation energy**: -2.97 eV/atom

=====

This record from the Alexandria database describes La2ErBi after structural relaxation. The functional is PBE.

Unit cell a=3.608 b=3.608 c=12.685 alpha=81.82 beta=81.82 gamma=60.00
Atoms (fractional coordinates):
La 0.912 0.912 0.265
Bi 0.000 0.000 0.000
La 0.088 0.088 0.735
Er 0.500 0.500 0.500

**Energy of formation**: 0.002 eV per atom

=====

This record from the Alexandria database describes Ca3SnB2Pd9 after structural relaxation. The functional is PBE.

Unit cell a=5.884 b=5.884 c=9.138 alpha=90.00 beta=90.00 gamma=120.00
Atoms (fractional coordinates):
B 0.333 0.667 0.142
Pd 0.500 0.500 0.000
Pd 0.835 0.165 0.729
Ca 0.000 0.000 0.000
Pd 0.835 0.670 0.729
Pd 0.165 0.835 0.271
Ca 0.667 0.333 0.358
Pd 0.330 0.165 0.729
B 0.667 0.333 0.858
Pd 0.000 0.500 0.000
Pd 0.670 0.835 0.271
Ca 0.333 0.667 0.642
Sn 0.000 0.000 0.500
Pd 0.500 0.000 0.000
Pd 0.165 0.330 0.271

**Energy of formation**: -0.586 eV per atom

=====

This record from the Alexandria database describes TiGaOs2Ru after structural relaxation. The functional is PBE.

Unit cell a=4.763 b=4.581 c=4.763 alpha=90.00 beta=90.00 gamma=90.00
Atoms (fractional coordinates):
Os 0.500 0.000 0.000
Ga 0.000 0.500 0.000
Os 0.000 0.000 0.500
Ti 0.500 0.500 0.500
Ru 0.000 0.000 0.000

**Energy of formation**: 1.406 eV per atom

=====

This record from the Alexandria database describes PmBi2SeO4 after structural relaxation. The functional is PBE.

Unit cell a=3.923 b=3.923 c=9.411 alpha=90.00 beta=90.00 gamma=90.00
Atoms (fractional coordinates):
O 0.500 0.000 0.845
Bi 0.500 0.500 0.725
Pm 0.000 0.000 0.000
Se 0.000 0.000 0.500
Bi 0.500 0.500 0.275
O 0.500 0.000 0.155
O 0.000 0.500 0.155
O 0.000 0.500 0.845

**Raw formation energy**: -1.72 eV/atom

=====

This record from the Alexandria database describes Li5Pd2 after structural relaxation. The functional is PBE.

Unit cell a=4.422 b=4.422 c=6.901 alpha=71.31 beta=71.31 gamma=60.00
Atoms (fractional coordinates):
Pd 0.634 0.634 0.098
Li 0.937 0.937 0.190
Li 0.767 0.767 0.700
Li 0.500 0.500 0.500
Pd 0.366 0.366 0.902
Li 0.063 0.063 0.810
Li 0.233 0.233 0.300

**Energy of formation**: -0.283 eV per atom

=====

This record from the Alexandria database describes BaYIr2 after structural relaxation. The functional is PBE.

Unit cell a=6.554 b=6.554 c=6.554 alpha=151.59 beta=134.58 gamma=54.44
Atoms (fractional coordinates):
Ir 0.959 0.959 0.000
Y 0.531 0.531 0.000
Ba 0.229 0.729 0.500
Ir 0.781 0.281 0.500

**Energy of formation**: 0.008 eV per atom

=====

This record from the Alexandria database describes SrSc2Ti after structural relaxation. The functional is PBE.

Unit cell a=5.333 b=5.333 c=5.333 alpha=60.00 beta=60.00 gamma=60.00
Atoms (fractional coordinates):
Sc 0.750 0.750 0.750
Sc 0.250 0.250 0.250
Ti 0.000 0.000 0.000
Sr 0.500 0.500 0.500

**Energy of formation**: 0.493 eV per atom

=====

This record from the Alexandria database describes PdRuAu2 after structural relaxation. The functional is PBE.

Unit cell a=3.858 b=3.858 c=10.093 alpha=78.98 beta=78.98 gamma=90.00
Atoms (fractional coordinates):
Ru 0.500 0.500 0.000
Au 0.375 0.376 0.750
Au 0.624 0.125 0.250
Au 0.126 0.625 0.250
Pd 0.750 0.250 0.500
Ru 0.250 0.750 0.500
Au 0.875 0.874 0.750
Pd 0.000 0.000 0.000

**Energy of formation**: 0.586 eV per atom

=====

This record from the Alexandria database describes SrLi2SeO4 after structural relaxation. The functional is PBE.

Unit cell a=6.734 b=6.734 c=6.359 alpha=118.24 beta=118.24 gamma=96.39
Atoms (fractional coordinates):
O 0.327 0.723 0.525
Sr 0.000 0.500 0.500
O 0.777 0.173 0.975
Li 0.500 0.500 0.000
O 0.754 0.748 0.999
O 0.673 0.277 0.475
Se 0.500 0.500 0.500
O 0.246 0.252 0.001
O 0.248 0.254 0.499
O 0.752 0.746 0.501
Sr 0.000 0.500 0.000
O 0.223 0.827 0.025
Li 0.000 0.000 0.500
Se 0.000 0.000 0.000
Li 0.500 0.000 0.000
Li 0.500 0.000 0.500

**Raw formation energy**: -1.47 eV/atom

=====

This record from the Alexandria database describes Ce2ZnGa4Au3 after structural relaxation. The functional is PBE.

Unit cell a=4.321 b=4.321 c=10.908 alpha=90.00 beta=90.00 gamma=90.00
Atoms (fractional coordinates):
Au 0.000 0.500 0.136
Au 0.500 0.000 0.864
Ce 0.000 0.500 0.745
Ga 0.500 0.000 0.634
Ga 0.500 0.500 0.000
Zn 0.500 0.500 0.500
Ce 0.500 0.000 0.255
Ga 0.000 0.000 0.000
Ga 0.000 0.500 0.366
Au 0.000 0.000 0.500

**Energy of formation**: -0.564 eV per atom

=====

no.,DFT total energy (eV/atom)
1,-6.398
2,-4.572
3,-5.259
4,-7.126
5,-6.194
6,-3.134
7,-6.519
8,-5.067
9,-4.670
10,-5.076
11,-4.072